Record 1
# Ba2Tl4GaHg3 (PBE-GGA, optimized geometry)
# Uncorrected energy (eV for the cell shown): -20.05
# Magnetization (μB per formula unit): 0.0
data_Ba2Tl4GaHg3
_cell_length_a 5.095
_cell_length_b 5.095
_cell_length_c 12.290
_cell_angle_alpha 90.00
_cell_angle_beta 90.00
_cell_angle_gamma 90.00
_space_group_name_H-M_alt 'P -4 m 2'
_space_group_IT_number 115
_space_group_name_Hall 'P -4 -2'
loop_
_atom_site_label
_atom_site_fract_x
_atom_site_fract_y
_atom_site_fract_z
Ba1 0.000 0.500 0.240
Tl1 0.000 0.000 0.500
Tl2 0.000 0.500 0.877
Tl3 0.500 0.500 0.500
Ga1 0.500 0.500 0.000
Hg1 0.000 0.000 0.000
Hg2 0.000 0.500 0.640

Record 2
# BaTl2GaHg (PBE-GGA, optimized geometry)
# Uncorrected energy (eV for the cell shown): -10.59
# Magnetization (μB per formula unit): 0.0
data_BaTl2GaHg
_cell_length_a 5.666
_cell_length_b 5.666
_cell_length_c 5.239
_cell_angle_alpha 90.00
_cell_angle_beta 90.00
_cell_angle_gamma 90.00
_space_group_name_H-M_alt 'P 4/m m m'
_space_group_IT_number 123
_space_group_name_Hall '-P 4 2'
loop_
_atom_site_label
_atom_site_fract_x
_atom_site_fract_y
_atom_site_fract_z
Ba1 0.000 0.000 0.000
Tl1 0.000 0.500 0.500
Ga1 0.500 0.500 0.500
Hg1 0.500 0.500 0.000

Record 3
# Ba2ZnGa4Hg3 (PBE-GGA, optimized geometry)
# Uncorrected energy (eV for the cell shown): -21.61
# Magnetization (μB per formula unit): 0.0
data_Ba2ZnGa4Hg3
_cell_length_a 4.733
_cell_length_b 4.733
_cell_length_c 11.381
_cell_angle_alpha 90.00
_cell_angle_beta 90.00
_cell_angle_gamma 90.00
_space_group_name_H-M_alt 'P -4 m 2'
_space_group_IT_number 115
_space_group_name_Hall 'P -4 -2'
loop_
_atom_site_label
_atom_site_fract_x
_atom_site_fract_y
_atom_site_fract_z
Ba1 0.000 0.500 0.247
Zn1 0.500 0.500 0.000
Ga1 0.000 0.000 0.500
Ga2 0.000 0.500 0.876
Ga3 0.500 0.500 0.500
Hg1 0.000 0.000 0.000
Hg2 0.000 0.500 0.634